Here is an optimized crystal structure of NiSbN2 from Alexandria. Energies are from PBE.

Geometry as extended XYZ:
```
8
Lattice="-2.355 2.355 4.830 2.355 -2.355 4.830 2.355 2.355 -4.830" Properties=species:S:1:pos:R:3 pbc="T T T"
Ni 0.000 0.000 0.000
Ni 0.000 2.355 2.415
Sb 2.355 0.000 2.415
Sb 0.000 0.000 4.830
N 3.532 1.052 -1.208
N 1.052 1.177 1.208
N -1.177 1.303 3.623
N 1.303 1.177 6.038
```

Properties
Total magnetization, μB/atom: 0.24
Formation energy from raw total energies, eV/atom: 0.612
Electronic total energy, eV per cell: -48.21